Al5Ag4: optimized geometry, GGA-PBE.

a = 4.9901 Å, b = 5.0794 Å, c = 7.5241 Å
α = 70.27°, β = 108.73°, γ = 119.61°
Closest atoms and distances in Å follow each position.
Atoms (fractional coordinates):
1 Al 0.5559 0.7828 0.6655  6 Ag 2.78-2.95, 6 Al 2.83-2.93
2 Al 0.2302 0.1193 0.6660  6 Ag 2.80-2.96, 6 Al 2.86-2.93
3 Al 0.6702 0.3237 0.9993  6 Ag 2.80-2.94, 6 Al 2.86-2.94
4 Al 0.1035 0.5581 0.3339  8 Ag 2.79-2.99, 4 Al 2.87-2.90
5 Al 0.3342 0.6571 0.0003  6 Ag 2.78-3.00, 6 Al 2.83-2.94
6 Ag 0.9996 0.9773 0.9986  9 Al 2.79-3.00, 3 Ag 2.90-2.94
7 Ag 0.9006 0.4467 0.6707  9 Al 2.81-2.96, 3 Ag 2.90-2.94
8 Ag 0.7669 0.8996 0.3347  7 Al 2.78-2.95, 5 Ag 2.88-2.94
9 Ag 0.4390 0.2354 0.3309  7 Al 2.78-2.99, 5 Ag 2.88-2.94

## Properties
Density of states at the Fermi level   2.66 states/eV/cell
Total DFT energy (no corrections)   -3.348 eV/atom
Total magnetization   0.0 μB per cell
Theoretical density   6.136 g/cm3
Polymorph energy (0 for the lowest one)   0.0281 eV per atom
Crystal system   triclinic
Energy relative to the elements   -0.16 kJ/mol of atoms



Al2Ag3: optimized geometry, GGA-PBE.

a = 2.9547 Å, b = 7.0019 Å, c = 8.5668 Å
α = 105.38°, β = 90.00°, γ = 90.00°
Closest atoms and distances in Å follow each position.
Atoms (fractional coordinates):
1 Al 0.5000 0.9032 0.6989  7 Ag 2.81-2.92, 5 Al 2.86-2.95
2 Al 0.0000 0.8039 0.4023  4 Ag 2.75-2.81, 8 Al 2.86-2.95
3 Al 0.5000 0.6969 0.0929  8 Ag 2.77-2.92, 4 Al 2.95
4 Al 0.5000 0.4937 0.4988  7 Ag 2.77-2.91, 5 Al 2.92-2.95
5 Ag 0.0000 0.1935 0.6020  5 Al 2.81-2.89, 7 Ag 2.89-2.95
6 Ag 0.0000 0.9930 0.9947  8 Ag 2.83-3.08, 4 Al 2.85-2.86
7 Ag 0.0000 0.6038 0.7885  6 Al 2.81-2.92, 6 Ag 2.83-2.95
8 Ag 0.5000 0.3068 0.9082  2 Al 2.77-2.92, 10 Ag 2.90-2.95
9 Ag 0.5000 0.0867 0.2987  4 Al 2.80-2.91, 8 Ag 2.91-3.00
10 Ag 0.0000 0.4185 0.2151  5 Al 2.75-2.86, 7 Ag 2.94-3.08

## Properties
Density of states at the Fermi level   2.45 states/eV/cell
Total DFT energy (no corrections)   -3.239 eV/atom
Total magnetization   0.0 μB per cell
Theoretical density   7.338 g/cm3
Polymorph energy (0 for the lowest one)   0.0133 eV per atom
Crystal system   monoclinic
Energy relative to the elements   -3.01 kJ/mol of atoms



AlAg2: optimized geometry, GGA-PBE.

a = 3.0683 Å, b = 8.5634 Å, c = 3.9456 Å
α = 90.00°, β = 90.00°, γ = 90.00°
Closest atoms and distances in Å follow each position.
Atoms (fractional coordinates):
1 Al 0.0000 0.6603 0.0000  6 Ag 2.75-2.78, 6 Al 2.93-3.07
2 Al 0.5000 0.8397 0.5000  6 Ag 2.75-2.78, 6 Al 2.93-3.07
3 Ag 0.0000 0.3366 0.0000  1 Al 2.77, 11 Ag 2.91-3.07
4 Ag 0.5000 0.5184 0.5000  5 Al 2.75-2.78, 7 Ag 2.94-3.07
5 Ag 0.5000 0.1634 0.5000  1 Al 2.77, 11 Ag 2.91-3.07
6 Ag 0.0000 0.9816 0.0000  5 Al 2.75-2.78, 7 Ag 2.94-3.07

## Properties
Density of states at the Fermi level   1.28 states/eV/cell
Total DFT energy (no corrections)   -3.186 eV/atom
Total magnetization   0.0 μB per cell
Theoretical density   7.776 g/cm3
Crystal system   orthorhombic
Energy relative to the elements   -3.67 kJ/mol of atoms



Which formula does entry 2 have?
Al2Ag3